A relaxed structure of La3Sm2Au3, computed with PBE-GGA.

a b c (Å): 3.792 5.437 11.656
angles (deg): 103.49 99.36 90.00
Fractional positions:
La 0.383 0.383 0.766
La 0.617 0.617 0.234
La 0.500 0.000 0.000
Sm 0.270 0.770 0.540
Sm 0.730 0.230 0.460
Au 0.877 0.877 0.755
Au 0.000 0.500 0.000
Au 0.123 0.123 0.245

The calculation puts the formation energy at -0.58 eV per atom. The total energy comes out at -4.8396 eV/atom.